VASP calculation (GGA-PBEsol) on a geometry-optimized TaBeN3 structure.

Computed properties:
Crystal system   cubic
E   -7.67 eV/atom
Spin magnetization   0.5 Bohr magnetons per cell
DOS at the Fermi energy   4.0 states/eV/f.u.

Geometry as CIF:
```
data_TaBeN3
_symmetry_space_group_name_H-M 'P m -3 m'
_symmetry_Int_Tables_number 221
_symmetry_space_group_name_Hall '-P 4 2 3'
_cell_length_a 4.0028
_cell_length_b 4.0028
_cell_length_c 4.0028
_cell_angle_alpha 90.00
_cell_angle_beta 90.00
_cell_angle_gamma 90.00
loop_
_atom_site_label
_atom_site_fract_x
_atom_site_fract_y
_atom_site_fract_z
_atom_site_occupancy
Ta1 0.0000 0.0000 0.0000 1
Be1 0.5000 0.5000 0.5000 1
N1 0.0000 0.0000 0.5000 1
```

VASP calculation (GGA-PBEsol) on a geometry-optimized BeCr2CuAu structure.

Computed properties:
Crystal system   tetragonal
Formation energy from the elements   1.386 eV per atom
Spin magnetization   8.0 Bohr magnetons per cell
DOS at the Fermi energy   3.1 states/eV/f.u.

Geometry as CIF:
```
data_BeCr2CuAu
_symmetry_space_group_name_H-M 'P 4/m m m'
_symmetry_Int_Tables_number 123
_symmetry_space_group_name_Hall '-P 4 2'
_cell_length_a 4.8864
_cell_length_b 4.8864
_cell_length_c 4.1762
_cell_angle_alpha 90.00
_cell_angle_beta 90.00
_cell_angle_gamma 90.00
loop_
_atom_site_label
_atom_site_fract_x
_atom_site_fract_y
_atom_site_fract_z
_atom_site_occupancy
Be1 0.0000 0.0000 0.0000 1
Cr1 0.0000 0.5000 0.5000 1
Cu1 0.5000 0.5000 0.0000 1
Au1 0.0000 0.0000 0.5000 1
```

VASP calculation (GGA-PBEsol) on a geometry-optimized ZrCdRe structure.

Computed properties:
Crystal system   cubic
Formation energy from the elements   1.097 eV per atom
Spin magnetization   0.0 Bohr magnetons per cell
DOS at the Fermi energy   4.1 states/eV/f.u.

Geometry as CIF:
```
data_ZrCdRe
_symmetry_space_group_name_H-M 'F -4 3 m'
_symmetry_Int_Tables_number 216
_symmetry_space_group_name_Hall 'F -4 2 3'
_cell_length_a 6.3904
_cell_length_b 6.3904
_cell_length_c 6.3904
_cell_angle_alpha 90.00
_cell_angle_beta 90.00
_cell_angle_gamma 90.00
loop_
_atom_site_label
_atom_site_fract_x
_atom_site_fract_y
_atom_site_fract_z
_atom_site_occupancy
Zr1 0.0000 0.0000 0.0000 1
Cd1 0.2500 0.2500 0.2500 1
Re1 0.2500 0.2500 0.7500 1
```

VASP calculation (GGA-PBEsol) on a geometry-optimized CrCu2P structure.

Computed properties:
Crystal system   tetragonal
Formation energy from the elements   0.010 eV per atom
Spin magnetization   2.2 Bohr magnetons per cell
DOS at the Fermi energy   2.4 states/eV/f.u.

Geometry as CIF:
```
data_CrCu2P
_symmetry_space_group_name_H-M 'P 4/m m m'
_symmetry_Int_Tables_number 123
_symmetry_space_group_name_Hall '-P 4 2'
_cell_length_a 3.4477
_cell_length_b 3.4477
_cell_length_c 3.9138
_cell_angle_alpha 90.00
_cell_angle_beta 90.00
_cell_angle_gamma 90.00
loop_
_atom_site_label
_atom_site_fract_x
_atom_site_fract_y
_atom_site_fract_z
_atom_site_occupancy
Cr1 0.0000 0.0000 0.0000 1
Cu1 0.0000 0.5000 0.5000 1
P1 0.5000 0.5000 0.0000 1
```

VASP calculation (GGA-PBEsol) on a geometry-optimized SrLaPt2 structure.

Computed properties:
Crystal system   trigonal
Formation energy from the elements   -0.801 eV per atom
Spin magnetization   0.0 Bohr magnetons per cell
Energy above the most stable polymorph in this dataset   107 meV per atom
DOS at the Fermi energy   2.0 states/eV/f.u.

Geometry as CIF:
```
data_SrLaPt2
_symmetry_space_group_name_H-M 'R -3 m'
_symmetry_Int_Tables_number 166
_symmetry_space_group_name_Hall '-R 3 2"'
_cell_length_a 4.1813
_cell_length_b 4.1813
_cell_length_c 21.1770
_cell_angle_alpha 90.00
_cell_angle_beta 90.00
_cell_angle_gamma 120.00
loop_
_atom_site_label
_atom_site_fract_x
_atom_site_fract_y
_atom_site_fract_z
_atom_site_occupancy
Sr1 0.0000 0.0000 0.0000 1
La1 0.0000 0.0000 0.5000 1
Pt1 0.0000 0.0000 0.2435 1
```

VASP calculation (GGA-PBEsol) on a geometry-optimized Li2SiSe structure.

Computed properties:
Crystal system   tetragonal
Spin magnetization   0.0 Bohr magnetons per cell
Energy above the most stable polymorph in this dataset   19 meV per atom
DOS at the Fermi energy   1.6 states/eV/f.u.

Geometry as CIF:
```
data_Li2SiSe
_symmetry_space_group_name_H-M 'P 4/m m m'
_symmetry_Int_Tables_number 123
_symmetry_space_group_name_Hall '-P 4 2'
_cell_length_a 2.7945
_cell_length_b 2.7945
_cell_length_c 7.9403
_cell_angle_alpha 90.00
_cell_angle_beta 90.00
_cell_angle_gamma 90.00
loop_
_atom_site_label
_atom_site_fract_x
_atom_site_fract_y
_atom_site_fract_z
_atom_site_occupancy
Li1 0.0000 0.0000 0.2439 1
Si1 0.5000 0.5000 0.0000 1
Se1 0.5000 0.5000 0.5000 1
```

VASP calculation (GGA-PBEsol) on a geometry-optimized ReBIBr2 structure.

Computed properties:
Crystal system   tetragonal
E   -3.74 eV/atom
Spin magnetization   2.4 Bohr magnetons per cell
DOS at the Fermi energy   5.0 states/eV/f.u.

Geometry as CIF:
```
data_ReBIBr2
_symmetry_space_group_name_H-M 'P 4/m m m'
_symmetry_Int_Tables_number 123
_symmetry_space_group_name_Hall '-P 4 2'
_cell_length_a 4.9110
_cell_length_b 4.9110
_cell_length_c 5.5019
_cell_angle_alpha 90.00
_cell_angle_beta 90.00
_cell_angle_gamma 90.00
loop_
_atom_site_label
_atom_site_fract_x
_atom_site_fract_y
_atom_site_fract_z
_atom_site_occupancy
Re1 0.0000 0.0000 0.0000 1
B1 0.5000 0.5000 0.5000 1
I1 0.0000 0.0000 0.5000 1
Br1 0.0000 0.5000 0.0000 1
```

VASP calculation (GGA-PBEsol) on a geometry-optimized CaSc2Mn structure.

Computed properties:
Crystal system   trigonal
Formation energy from the elements   0.671 eV per atom
Spin magnetization   6.2 Bohr magnetons per cell
Energy above the most stable polymorph in this dataset   248 meV per atom
DOS at the Fermi energy   4.7 states/eV/f.u.

Geometry as CIF:
```
data_CaSc2Mn
_symmetry_space_group_name_H-M 'R -3 m'
_symmetry_Int_Tables_number 166
_symmetry_space_group_name_Hall '-R 3 2"'
_cell_length_a 3.1874
_cell_length_b 3.1874
_cell_length_c 32.1150
_cell_angle_alpha 90.00
_cell_angle_beta 90.00
_cell_angle_gamma 120.00
loop_
_atom_site_label
_atom_site_fract_x
_atom_site_fract_y
_atom_site_fract_z
_atom_site_occupancy
Ca1 0.0000 0.0000 0.0000 1
Sc1 0.0000 0.0000 0.4249 1
Mn1 0.0000 0.0000 0.5000 1
```